# 1
# NiMoAs2 | Alexandria via LeMat-Bulk | meta-GGA SCAN | single point on PBEsol structure
data_NiMoAs2
_space_group_name_H-M_alt 'P 1'
_space_group_IT_number 1
_space_group_name_Hall 'P 1'
_cell_length_a 4.364
_cell_length_b 4.364
_cell_length_c 4.364
_cell_angle_alpha 60.00
_cell_angle_beta 60.00
_cell_angle_gamma 60.00
loop_
_atom_site_label
_atom_site_fract_x
_atom_site_fract_y
_atom_site_fract_z
As1 0.000 0.000 0.000
As2 0.750 0.750 0.750
Mo1 0.500 0.500 0.500
Ni1 0.250 0.250 0.250
# SG	F-43m (216)
# D(E_F)	2.91	states/eV/f.u.
# ΔE_f	0.48	eV per atom

=====

# 2
# MgIrPt2 | Alexandria via LeMat-Bulk | meta-GGA SCAN | single point on PBEsol structure
data_MgIrPt2
_space_group_name_H-M_alt 'P 1'
_space_group_IT_number 1
_space_group_name_Hall 'P 1'
_cell_length_a 2.791
_cell_length_b 2.791
_cell_length_c 8.993
_cell_angle_alpha 81.07
_cell_angle_beta 81.07
_cell_angle_gamma 60.00
loop_
_atom_site_label
_atom_site_fract_x
_atom_site_fract_y
_atom_site_fract_z
Ir1 0.500 0.500 0.500
Mg1 0.000 0.000 0.000
Pt1 0.749 0.749 0.752
Pt2 0.251 0.251 0.248
# SG	R-3m (166)
# D(E_F)	4.34	states/eV/f.u.
# ΔE_f	-0.23	eV per atom

=====

# 3
# Tl4Cd3 | Alexandria via LeMat-Bulk | meta-GGA SCAN | single point on PBEsol structure
data_Tl4Cd3
_space_group_name_H-M_alt 'P 1'
_space_group_IT_number 1
_space_group_name_Hall 'P 1'
_cell_length_a 5.713
_cell_length_b 5.713
_cell_length_c 6.390
_cell_angle_alpha 90.00
_cell_angle_beta 90.00
_cell_angle_gamma 120.00
loop_
_atom_site_label
_atom_site_fract_x
_atom_site_fract_y
_atom_site_fract_z
Tl1 0.333 0.667 0.500
Tl2 0.000 0.000 0.260
Cd1 0.500 0.500 0.000
Tl3 0.000 0.000 0.740
Cd2 0.500 0.000 0.000
Tl4 0.667 0.333 0.500
Cd3 0.000 0.500 0.000
# SG	P6/mmm (191)
# D(E_F)	2.70	states/eV/f.u.
# ΔE_f	0.03	eV per atom